Here is crystalline Ac2DyNi3Sn4 at its relaxed geometry from Alexandria. Energies are from PBE.

DFT formation energy (meV per atom): -516
Total moment (μB/atom): 0.000
Crystal system: tetragonal
Space-group type: No. 115
Electronic total energy (eV per cell): -51.3

Geometry as POSCAR:
```
Ac2DyNi3Sn4
1.0
-0.5007 2.6474 -3.6454
-0.2927 -3.6792 -2.6317
-11.7252 -0.1442 1.5058
Sn Ac Ni Dy
4 2 3 1
direct
0.0000 0.0000 0.0000
0.5000 0.0000 0.6639
0.0000 0.5000 0.3361
0.5000 0.5000 0.0000
0.0000 0.5000 0.7715
0.5000 0.0000 0.2285
0.5000 0.0000 0.8845
0.0000 0.5000 0.1155
0.0000 0.0000 0.5000
0.5000 0.5000 0.5000
```

=====

Here is crystalline Ce4BiSbAs2 at its relaxed geometry from Alexandria. Energies are from PBE.

Formation energy from raw total energies (eV/atom): -1.152
Total moment (μB/atom): 0.399
Crystal system: monoclinic
Space-group type: No. 10
Electronic total energy (eV per cell): -50.3

Geometry as POSCAR:
```
Ce4BiSbAs2
1.0
-1.5308 -3.7869 -1.5029
3.4863 -3.6872 5.7397
-4.7030 -0.4321 5.8789
Bi Ce Sb As
1 4 1 2
direct
0.0000 0.5000 0.5000
0.5000 0.7727 0.2397
0.0000 0.7705 0.7458
0.5000 0.2273 0.7603
0.0000 0.2295 0.2542
0.5000 0.5000 0.0000
0.5000 0.0000 0.5000
0.0000 0.0000 0.0000
```

=====

Here is crystalline TiNbNi2 at its relaxed geometry from Alexandria. Energies are from PBE.

DFT formation energy (meV per atom): -264
Total moment (μB/atom): 0.000
Crystal system: tetragonal
Space-group type: No. 123
Electronic total energy (eV per cell): -30.6

Geometry as POSCAR:
```
TiNbNi2
1.0
2.9376 0.0000 0.0000
0.0000 2.9376 0.0000
0.0000 0.0000 6.5134
Ti Ni Nb
1 2 1
direct
0.5000 0.5000 0.0000
0.0000 0.0000 0.2160
0.0000 0.0000 0.7840
0.5000 0.5000 0.5000
```

=====

Here is crystalline NdSm2Y3Bi6 at its relaxed geometry from Alexandria. Energies are from PBE.

DFT formation energy (meV per atom): -914
Total moment (μB/atom): 0.000
Crystal system: monoclinic
Space-group type: No. 12
Electronic total energy (eV per cell): -67.9

Geometry as POSCAR:
```
NdSm2Y3Bi6
1.0
7.8511 -0.0015 0.0012
-3.9249 6.7996 0.0012
-1.3089 -2.2663 7.3873
Bi Sm Nd Y
6 2 1 3
direct
0.0854 0.4205 0.2561
0.2500 0.2500 0.7445
0.4205 0.0854 0.2561
0.9146 0.5795 0.7439
0.7500 0.7500 0.2555
0.5795 0.9146 0.7439
0.3332 0.6668 0.0000
0.6668 0.3332 0.0000
0.0000 0.0000 0.0000
0.8341 0.1659 0.5000
0.1659 0.8341 0.5000
0.5000 0.5000 0.5000
```

=====

Here is crystalline PmNd8Dy6 at its relaxed geometry from Alexandria. Energies are from PBE.

DFT formation energy (meV per atom): 155
Total moment (μB/atom): 0.000
Crystal system: trigonal
Space-group type: No. 148
Electronic total energy (eV per cell): -68.2

Geometry as POSCAR:
```
PmNd8Dy6
1.0
9.3337 0.0000 0.0000
4.6669 8.0832 0.0000
4.6669 2.6944 6.7883
Nd Pm Dy
8 1 6
direct
0.6634 0.7727 0.4790
0.5731 0.5731 0.2806
0.4269 0.4269 0.7194
0.2273 0.9151 0.5210
0.7727 0.0849 0.4790
0.9151 0.3366 0.5210
0.0849 0.6634 0.4790
0.3366 0.2273 0.5210
0.0000 0.0000 0.0000
0.1078 0.2610 0.0780
0.7390 0.4468 0.9220
0.2610 0.5532 0.0780
0.4468 0.8922 0.9220
0.8922 0.7390 0.9220
0.5532 0.1078 0.0780
```

=====

Here is crystalline DyTmTlAg at its relaxed geometry from Alexandria. Energies are from PBE.

DFT formation energy (meV per atom): -333
Total moment (μB/atom): 0.034
Crystal system: tetragonal
Space-group type: No. 99
Electronic total energy (eV per cell): -15.6

Geometry as POSCAR:
```
DyTmTlAg
1.0
3.6343 0.0000 0.0000
0.0000 3.6343 0.0000
0.0000 0.0000 7.6347
Dy Tl Tm Ag
1 1 1 1
direct
0.0000 0.0000 0.8436
0.5000 0.5000 0.1116
0.0000 0.0000 0.3745
0.5000 0.5000 0.5983
```

=====

Here is crystalline NiSn2HgPb at its relaxed geometry from Alexandria. Energies are from PBE.

DFT formation energy (meV per atom): 93
Total moment (μB/atom): 0.000
Crystal system: tetragonal
Space-group type: No. 123
Electronic total energy (eV per cell): -17.3

Geometry as POSCAR:
```
NiSn2HgPb
1.0
-4.3716 1.7487 1.7935
1.1321 -1.8386 4.5523
2.2625 4.4074 1.2174
Sn Hg Ni Pb
2 1 1 1
direct
0.5000 0.0000 0.0000
0.0000 0.5000 0.0000
0.0000 0.0000 0.5000
0.0000 0.0000 0.0000
0.5000 0.5000 0.5000
```

=====

Here is crystalline CsPbF5 at its relaxed geometry from Alexandria. Energies are from PBE.

Formation energy from raw total energies (eV/atom): -2.270
Total moment (μB/atom): 0.018
Crystal system: monoclinic
Space-group type: No. 15
Electronic total energy (eV per cell): -59.6

Geometry as POSCAR:
```
CsPbF5
1.0
9.0099 -1.0192 -1.3323
-5.0634 7.2860 -2.2952
0.0285 -1.5878 6.6616
F Pb Cs
10 2 2
direct
0.7887 0.3961 0.1946
0.2474 0.7177 0.4640
0.7526 0.2823 0.5360
0.7985 0.9058 0.6946
0.2536 0.2834 0.0360
0.2113 0.6039 0.8054
0.2015 0.0942 0.3054
0.0496 0.7996 0.7500
0.7464 0.7166 0.9640
0.9504 0.2004 0.2500
0.0000 0.5000 0.5000
0.0000 0.0000 0.0000
0.5303 0.7803 0.2500
0.4697 0.2197 0.7500
```